Compound: Sc7Be
Source: Alexandria
Functional: GGA-PBE
Structure: relaxed

Summary:
total magnetization	0.000	Bohr magnetons per cell
SG	No. 225
ΔH_f (0 K)	0.149	eV per atom

POSCAR file:
```
Sc7Be
1.0
0.000 4.492 4.492
4.492 0.000 4.492
4.492 4.492 0.000
Sc Be
7 1
direct
0.000 0.000 0.000 Sc
0.000 0.000 0.500 Sc
0.000 0.500 0.000 Sc
0.000 0.500 0.500 Sc
0.500 0.000 0.000 Sc
0.500 0.000 0.500 Sc
0.500 0.500 0.000 Sc
0.500 0.500 0.500 Be
```